[1]
The following is a DFT calculation (PBE-GGA) of a geometry-optimized Ca3LaC structure.

## Properties
The calculation puts the raw total energy at -0.06590 Ha/atom. The value obtained for the energy relative to the lowest polymorph listed for this composition is 1874 meV per atom. As for the formation energy: 215.9 kJ per mole of atoms. The value obtained for the density of states at the Fermi level is 13.1 states/eV/cell.

The structure in POSCAR format:
```
Ca3LaC
1.0
5.755 0.000 0.000
0.000 5.755 0.000
0.000 0.000 5.755
Ca C La
3 1 1
Cartesian
0.000 2.878 0.000
0.000 0.000 2.878
2.878 0.000 0.000
2.878 2.878 2.878
0.000 0.000 0.000
```

---

[2]
The following is a DFT calculation (PBE-GGA) of a geometry-optimized CaLa2C structure.

## Properties
The calculation puts the raw total energy at -0.19472 Ha/atom. As for the formation energy: -2.8 kJ per mole of atoms. The value obtained for the density of states at the Fermi level is 3.8 states/eV/cell.

The structure in POSCAR format:
```
CaLa2C
1.0
-1.757 -2.066 2.574
-1.126 -3.466 -0.835
8.287 -5.637 3.848
Ca C La
1 1 2
Cartesian
0.000 0.000 0.000
2.702 -5.585 2.793
4.930 -4.260 2.661
0.473 -6.909 2.925
```

---

[3]
The following is a DFT calculation (PBE-GGA) of a geometry-optimized CaLa2C structure.

## Properties
The calculation puts the raw total energy at -0.19628 Ha/atom. As for the formation energy: -6.8 kJ per mole of atoms. The value obtained for the density of states at the Fermi level is 3.8 states/eV/cell.

The structure in POSCAR format:
```
CaLa2C
1.0
3.780 0.000 0.000
-1.890 3.273 -0.045
0.000 0.135 10.162
Ca La C
1 2 1
Cartesian
0.000 0.000 0.000
0.000 2.230 3.610
1.890 1.178 6.507
0.000 0.068 5.081
```

---

[4]
The following is a DFT calculation (PBE-GGA) of a geometry-optimized CaLaC2 structure.

## Properties
The calculation puts the raw total energy at -0.19644 Ha/atom. The value obtained for the energy relative to the lowest polymorph listed for this composition is 167 meV per atom. As for the formation energy: 96.4 kJ per mole of atoms. The value obtained for the density of states at the Fermi level is 4.1 states/eV/cell.

The structure in POSCAR format:
```
CaLaC2
1.0
-3.039 -0.580 -4.592
4.618 -0.741 -2.963
0.449 -6.777 -2.779
Ca C La
2 4 2
Cartesian
0.789 -0.661 -3.777
2.928 -4.090 -4.759
-1.236 -2.155 -3.974
2.645 -2.225 -3.081
0.889 -5.572 -4.891
1.758 -6.246 -8.720
0.000 0.000 0.000
-0.901 -4.009 -5.574
```

---

[5]
The following is a DFT calculation (PBE-GGA) of a geometry-optimized CaLa2C structure.

## Properties
The calculation puts the raw total energy at -0.18432 Ha/atom. As for the formation energy: 24.6 kJ per mole of atoms. The value obtained for the density of states at the Fermi level is 10.9 states/eV/cell.

The structure in POSCAR format:
```
CaLa2C
1.0
8.016 0.000 0.000
0.000 8.016 0.000
4.008 4.008 4.178
Ca C La
2 2 4
Cartesian
0.000 0.000 0.000
8.016 4.008 2.089
4.008 4.008 0.000
4.008 8.016 2.089
4.969 2.004 1.044
3.047 6.012 1.044
6.012 7.055 3.133
10.021 8.977 3.133
```

---

[6]
The following is a DFT calculation (PBE-GGA) of a geometry-optimized LiCa2LaC structure.

## Properties
The calculation puts the raw total energy at -0.14314 Ha/atom. As for the formation energy: 11.5 kJ per mole of atoms. The value obtained for the density of states at the Fermi level is 4.0 states/eV/cell.

The structure in POSCAR format:
```
LiCa2LaC
1.0
-5.117 1.178 0.512
-0.978 -4.936 1.587
0.800 1.386 4.805
Ca Li C La
2 1 1 1
Cartesian
-0.489 -2.468 0.793
-2.559 0.589 0.256
-2.648 -1.186 3.452
0.000 0.000 0.000
0.400 0.693 2.403
```

---

[7]
The following is a DFT calculation (PBE-GGA) of a geometry-optimized LiCaLa2C structure.

## Properties
The calculation puts the raw total energy at -0.16558 Ha/atom. The value obtained for the energy relative to the lowest polymorph listed for this composition is 0 meV per atom. As for the formation energy: 9.0 kJ per mole of atoms. The value obtained for the density of states at the Fermi level is 6.1 states/eV/cell.

The structure in POSCAR format:
```
LiCaLa2C
1.0
-0.408 4.622 -2.429
-4.804 0.623 1.992
2.061 2.400 4.220
Ca Li C La
1 1 1 2
Cartesian
1.030 1.200 2.110
-1.576 3.822 1.891
0.000 0.000 0.000
-2.402 0.311 0.996
-0.204 2.311 -1.215
```

---

[8]
The following is a DFT calculation (PBE-GGA) of a geometry-optimized CaLa2MgC structure.

## Properties
The calculation puts the raw total energy at -0.16643 Ha/atom. As for the formation energy: 0.6 kJ per mole of atoms. The value obtained for the density of states at the Fermi level is 7.3 states/eV/cell.

The structure in POSCAR format:
```
CaLa2MgC
1.0
-0.574 -4.875 -1.862
3.964 0.811 -3.345
3.374 -1.762 3.571
C Ca Mg La
1 1 1 2
Cartesian
0.000 0.000 0.000
1.687 -0.881 1.785
3.382 -2.913 -0.818
1.982 0.406 -1.673
-0.287 -2.437 -0.931
```